Record 1
! Nd2TlCuS4 PBE relaxed; values from VASP
&SYSTEM
  ibrav = 0, nat = 16, ntyp = 4
/
ATOMIC_SPECIES
S 32.06 S.upf
Nd 144.24 Nd.upf
Cu 63.55 Cu.upf
Tl 204.38 Tl.upf
CELL_PARAMETERS angstrom
4.077 0.000 0.000
-2.038 7.000 0.000
0.000 0.000 14.055
ATOMIC_POSITIONS crystal
S 0.572 0.144 0.250
Nd 0.366 0.731 0.562
Nd 0.634 0.269 0.438
Cu 0.836 0.672 0.750
S 0.738 0.476 0.614
S 0.000 0.000 0.500
Nd 0.366 0.731 0.938
Tl 0.894 0.789 0.250
S 0.738 0.476 0.886
S 0.428 0.856 0.750
S 0.262 0.524 0.386
S 0.262 0.524 0.114
Tl 0.106 0.211 0.750
Nd 0.634 0.269 0.062
S 0.000 0.000 0.000
Cu 0.164 0.328 0.250
! Crystal system: orthorhombic
! Total DFT energy (no corrections), eV/atom: -5.485

---

Record 2
! Ce6ScS8 PBE relaxed; values from VASP
&SYSTEM
  ibrav = 0, nat = 15, ntyp = 3
/
ATOMIC_SPECIES
S 32.06 S.upf
Ce 140.12 Ce.upf
Sc 44.96 Sc.upf
CELL_PARAMETERS angstrom
-4.938 6.283 0.168
-7.881 -1.088 -0.771
-4.823 1.126 6.274
ATOMIC_POSITIONS crystal
S 0.763 0.763 0.237
Ce 0.500 0.000 0.500
Ce 0.500 0.500 0.000
S 0.237 0.237 0.763
S 0.250 0.250 0.250
Ce 0.000 0.500 0.500
S 0.237 0.763 0.237
S 0.763 0.237 0.237
S 0.763 0.237 0.763
Ce 0.000 0.000 0.500
Ce 0.500 0.000 0.000
S 0.750 0.750 0.750
S 0.237 0.763 0.763
Ce 0.000 0.500 0.000
Sc 0.000 0.000 0.000
! Crystal system: cubic
! Total DFT energy (no corrections), eV/atom: -7.006

---

Record 3
! FeGeAs2Br PBE relaxed; values from VASP
&SYSTEM
  ibrav = 0, nat = 5, ntyp = 4
/
ATOMIC_SPECIES
Fe 55.84 Fe.upf
Br 79.90 Br.upf
As 74.92 As.upf
Ge 72.64 Ge.upf
CELL_PARAMETERS angstrom
4.964 0.000 0.000
0.000 4.964 0.000
0.000 0.000 5.152
ATOMIC_POSITIONS crystal
Fe 0.500 0.500 0.500
Br 0.000 0.000 0.500
As 0.000 0.500 0.000
As 0.500 0.000 0.000
Ge 0.000 0.000 0.000
! Energy relative to the lowest polymorph listed for this composition, meV per atom: 561
! Crystal system: tetragonal

---

Record 4
! KTa2SbO8 PBE relaxed; values from VASP
&SYSTEM
  ibrav = 0, nat = 12, ntyp = 4
/
ATOMIC_SPECIES
O 16.00 O.upf
K 39.10 K.upf
Sb 121.76 Sb.upf
Ta 180.95 Ta.upf
CELL_PARAMETERS angstrom
5.245 0.796 0.556
0.858 5.236 0.554
0.794 0.789 7.173
ATOMIC_POSITIONS crystal
O 0.353 0.353 0.512
O 0.227 0.768 0.196
O 0.773 0.232 0.804
O 0.232 0.773 0.804
O 0.647 0.647 0.488
K 0.000 0.000 0.500
Sb 0.000 0.000 0.000
O 0.768 0.227 0.196
Ta 0.438 0.438 0.727
O 0.235 0.235 0.918
O 0.765 0.765 0.082
Ta 0.562 0.562 0.273
! Crystal system: monoclinic
! Total DFT energy (no corrections), eV/atom: -7.976

---

Record 5
! Bi2ClF5 PBE relaxed; values from VASP
&SYSTEM
  ibrav = 0, nat = 8, ntyp = 3
/
ATOMIC_SPECIES
F 19.00 F.upf
Bi 208.98 Bi.upf
Cl 35.45 Cl.upf
CELL_PARAMETERS angstrom
-0.761 -3.800 0.444
2.423 -3.050 -4.810
5.163 -2.810 1.941
ATOMIC_POSITIONS crystal
F 0.681 0.497 0.142
Bi 0.240 0.260 0.260
F 0.319 0.503 0.858
Cl 0.000 0.000 0.000
F 0.000 0.500 0.500
F 0.319 0.858 0.503
F 0.681 0.142 0.497
Bi 0.760 0.740 0.740
! Crystal system: orthorhombic
! Total DFT energy (no corrections), eV/atom: -4.550

---

Record 6
! RbPa2TiS8 PBE relaxed; values from VASP
&SYSTEM
  ibrav = 0, nat = 12, ntyp = 4
/
ATOMIC_SPECIES
S 32.06 S.upf
Pa 231.04 Pa.upf
Rb 85.47 Rb.upf
Ti 47.87 Ti.upf
CELL_PARAMETERS angstrom
6.288 0.100 -0.004
0.167 6.086 -0.005
0.007 0.011 8.436
ATOMIC_POSITIONS crystal
S 0.308 0.286 0.000
S 0.184 0.776 0.808
S 0.184 0.776 0.192
Pa 0.500 0.500 0.250
S 0.388 0.278 0.500
S 0.692 0.714 0.000
S 0.816 0.224 0.808
Rb 0.000 0.000 0.500
S 0.816 0.224 0.192
Pa 0.500 0.500 0.750
S 0.612 0.722 0.500
Ti 0.000 0.000 0.000
! Crystal system: monoclinic
! Total DFT energy (no corrections), eV/atom: -6.240